Record 1
# ZrBI2N PBE relaxed
data_ZrBI2N
_chemical_formula_sum 'Zr1 B1 I2 N1'
_space_group_name_H-M_alt 'P 1'
_space_group_IT_number 1
_cell_length_a 5.9400
_cell_length_b 5.9400
_cell_length_c 4.0147
_cell_angle_alpha 90.00
_cell_angle_beta 90.00
_cell_angle_gamma 90.00
loop_
_space_group_symop_operation_xyz
'x,y,z'
loop_
_atom_site_label
_atom_site_fract_x
_atom_site_fract_y
_atom_site_fract_z
I1 0.5000 0.0000 0.0000
Zr1 0.0000 0.0000 0.0000
N1 0.0000 0.0000 0.5000
I2 0.0000 0.5000 0.0000
B1 0.5000 0.5000 0.5000
# **Calculated volume**: 141.7 Å³ per cell
# **DOS(E_F)**: 2.4 states/eV/f.u.
# **Formation energy without anion corrections**: 0.7023 eV per atom
# **Magnetic moment**: 0.00 μB per formula unit
# **SG**: P4/mmm



Record 2
# KMn PBE relaxed
data_KMn
_chemical_formula_sum 'K3 Mn3'
_space_group_name_H-M_alt 'P 1'
_space_group_IT_number 1
_cell_length_a 7.4406
_cell_length_b 7.4406
_cell_length_c 8.8718
_cell_angle_alpha 85.50
_cell_angle_beta 85.50
_cell_angle_gamma 26.10
loop_
_space_group_symop_operation_xyz
'x,y,z'
loop_
_atom_site_label
_atom_site_fract_x
_atom_site_fract_y
_atom_site_fract_z
Mn1 0.0436 0.0436 0.0146
K1 0.6181 0.6181 0.6535
K2 0.3548 0.3548 0.8331
Mn2 0.6794 0.6794 0.0766
K3 0.3658 0.3658 0.2986
Mn3 0.1050 0.1050 0.2903
# **Calculated volume**: 215.4 Å³ per cell
# **DOS(E_F)**: 1.6 states/eV/f.u.
# **Energy of formation from the pure elements**: 0.853 eV per atom
# **Magnetic moment**: 4.16 μB per formula unit
# **SG**: Cm



Record 3
# Rb3BaBi PBE relaxed
data_Rb3BaBi
_chemical_formula_sum 'Rb3 Ba1 Bi1'
_space_group_name_H-M_alt 'P 1'
_space_group_IT_number 1
_cell_length_a 7.2526
_cell_length_b 7.2526
_cell_length_c 7.2526
_cell_angle_alpha 90.00
_cell_angle_beta 90.00
_cell_angle_gamma 90.00
loop_
_space_group_symop_operation_xyz
'x,y,z'
loop_
_atom_site_label
_atom_site_fract_x
_atom_site_fract_y
_atom_site_fract_z
Ba1 0.5000 0.5000 0.5000
Bi1 0.0000 0.0000 0.0000
Rb1 0.0000 0.0000 0.5000
Rb2 0.0000 0.5000 0.0000
Rb3 0.5000 0.0000 0.0000
# **Calculated volume**: 381.5 Å³ per cell
# **DOS(E_F)**: 0.0 states/eV/f.u.
# **Energy of formation from the pure elements**: 0.035 eV per atom
# **Magnetic moment**: 0.00 μB per formula unit
# **SG**: Pm-3m



Record 4
# Pa3C2N PBE relaxed
data_Pa3C2N
_chemical_formula_sum 'Pa12 C8 N4'
_space_group_name_H-M_alt 'P 1'
_space_group_IT_number 1
_cell_length_a 6.1840
_cell_length_b 6.1840
_cell_length_c 11.2842
_cell_angle_alpha 100.53
_cell_angle_beta 100.53
_cell_angle_gamma 109.46
loop_
_space_group_symop_operation_xyz
'x,y,z'
loop_
_atom_site_label
_atom_site_fract_x
_atom_site_fract_y
_atom_site_fract_z
C1 0.4172 0.4172 0.8345
C2 0.7490 0.7490 0.4980
Pa1 0.3322 0.8334 0.1672
Pa2 0.5839 0.5850 0.6672
Pa3 0.1666 0.6678 0.8328
Pa4 0.4986 0.9986 0.5000
Pa5 0.2486 0.2486 0.0000
C3 0.5828 0.5828 0.1655
C4 0.6672 0.1672 0.3345
Pa6 0.0014 0.5014 0.5000
C5 0.9990 0.4990 0.9980
Pa7 0.4150 0.4161 0.3328
N1 0.3333 0.8333 0.6667
Pa8 0.7514 0.7514 0.0000
Pa9 0.0834 0.0822 0.6672
C6 0.5010 0.0010 0.0020
C7 0.2510 0.2510 0.5020
N2 0.0833 0.0833 0.1667
Pa10 0.6661 0.1650 0.8328
N3 0.1667 0.6667 0.3333
C8 0.8328 0.3328 0.6655
Pa11 0.8350 0.3339 0.1672
N4 0.9167 0.9167 0.8333
Pa12 0.9178 0.9166 0.3328
# **Calculated volume**: 386.0 Å³ per cell
# **DOS(E_F)**: 3.7 states/eV/f.u.
# **Formation energy without anion corrections**: -0.8674 eV per atom
# **Magnetic moment**: 0.00 μB per formula unit
# **SG**: Fddd



Record 5
# Ca2TaMoBr PBE relaxed
data_Ca2TaMoBr
_chemical_formula_sum 'Ca2 Ta1 Mo1 Br1'
_space_group_name_H-M_alt 'P 1'
_space_group_IT_number 1
_cell_length_a 5.7621
_cell_length_b 4.7120
_cell_length_c 5.7621
_cell_angle_alpha 90.00
_cell_angle_beta 90.00
_cell_angle_gamma 90.00
loop_
_space_group_symop_operation_xyz
'x,y,z'
loop_
_atom_site_label
_atom_site_fract_x
_atom_site_fract_y
_atom_site_fract_z
Ca1 0.5000 0.0000 0.0000
Mo1 0.0000 0.0000 0.0000
Ta1 0.5000 0.5000 0.5000
Br1 0.0000 0.5000 0.0000
Ca2 0.0000 0.0000 0.5000
# **Calculated volume**: 156.4 Å³ per cell
# **DOS(E_F)**: 5.8 states/eV/f.u.
# **Formation energy without anion corrections**: 1.4097 eV per atom
# **Magnetic moment**: 2.70 μB per formula unit
# **SG**: P4/mmm



Record 6
# GaCuP2F PBE relaxed
data_GaCuP2F
_chemical_formula_sum 'Ga1 Cu1 P2 F1'
_space_group_name_H-M_alt 'P 1'
_space_group_IT_number 1
_cell_length_a 4.3336
_cell_length_b 4.4878
_cell_length_c 4.3336
_cell_angle_alpha 90.00
_cell_angle_beta 90.00
_cell_angle_gamma 90.00
loop_
_space_group_symop_operation_xyz
'x,y,z'
loop_
_atom_site_label
_atom_site_fract_x
_atom_site_fract_y
_atom_site_fract_z
F1 0.0000 0.0000 0.0000
P1 0.0000 0.0000 0.5000
P2 0.5000 0.0000 0.0000
Ga1 0.0000 0.5000 0.0000
Cu1 0.5000 0.5000 0.5000
# **Calculated volume**: 84.3 Å³ per cell
# **DOS(E_F)**: 4.3 states/eV/f.u.
# **Formation energy without anion corrections**: 0.5357 eV per atom
# **Magnetic moment**: 0.00 μB per formula unit
# **SG**: P4/mmm



Record 7
# Fe2Ni15Pt2 PBE relaxed
data_Fe2Ni15Pt2
_chemical_formula_sum 'Fe2 Ni15 Pt2'
_space_group_name_H-M_alt 'P 1'
_space_group_IT_number 1
_cell_length_a 6.2091
_cell_length_b 6.2091
_cell_length_c 6.2091
_cell_angle_alpha 82.32
_cell_angle_beta 82.32
_cell_angle_gamma 82.32
loop_
_space_group_symop_operation_xyz
'x,y,z'
loop_
_atom_site_label
_atom_site_fract_x
_atom_site_fract_y
_atom_site_fract_z
Ni1 0.6526 0.1712 0.6526
Ni2 0.3194 0.6806 0.0000
Ni3 0.0000 0.5000 0.0000
Fe1 0.3711 0.3711 0.3711
Ni4 0.3474 0.3474 0.8288
Ni5 0.5000 0.0000 0.0000
Ni6 0.6806 0.3194 0.0000
Ni7 0.3194 0.0000 0.6806
Ni8 0.0000 0.6806 0.3194
Ni9 0.0000 0.0000 0.5000
Ni10 0.1712 0.6526 0.6526
Ni11 0.6806 0.0000 0.3194
Ni12 0.3474 0.8288 0.3474
Ni13 0.8288 0.3474 0.3474
Pt1 0.1079 0.1079 0.1079
Pt2 0.8921 0.8921 0.8921
Ni14 0.0000 0.3194 0.6806
Ni15 0.6526 0.6526 0.1712
Fe2 0.6289 0.6289 0.6289
# **Calculated volume**: 233.5 Å³ per cell
# **DOS(E_F)**: 24.1 states/eV/f.u.
# **Energy of formation from the pure elements**: 0.151 eV per atom
# **Magnetic moment**: 16.10 μB per formula unit
# **SG**: R-3m



Record 8
# NaLi17Ac PBE relaxed
data_NaLi17Ac
_chemical_formula_sum 'Na1 Li17 Ac1'
_space_group_name_H-M_alt 'P 1'
_space_group_IT_number 1
_cell_length_a 7.6736
_cell_length_b 7.6736
_cell_length_c 7.6736
_cell_angle_alpha 81.79
_cell_angle_beta 81.79
_cell_angle_gamma 81.79
loop_
_space_group_symop_operation_xyz
'x,y,z'
loop_
_atom_site_label
_atom_site_fract_x
_atom_site_fract_y
_atom_site_fract_z
Na1 0.3421 0.3421 0.3421
Li1 0.8755 0.3411 0.3411
Li2 0.2917 0.7036 0.0032
Li3 0.1677 0.6406 0.6406
Li4 0.6406 0.1677 0.6406
Li5 0.3411 0.3411 0.8755
Li6 0.6406 0.6406 0.1677
Ac1 0.6606 0.6606 0.6606
Li7 0.7036 0.2917 0.0032
Li8 0.2917 0.0032 0.7036
Li9 0.0032 0.2917 0.7036
Li10 0.0979 0.0979 0.0979
Li11 0.9078 0.9078 0.9078
Li12 0.9889 0.5100 0.9889
Li13 0.5100 0.9889 0.9889
Li14 0.9889 0.9889 0.5100
Li15 0.3411 0.8755 0.3411
Li16 0.7036 0.0032 0.2917
Li17 0.0032 0.7036 0.2917
# **Calculated volume**: 439.2 Å³ per cell
# **DOS(E_F)**: 10.1 states/eV/f.u.
# **Energy of formation from the pure elements**: 0.060 eV per atom
# **Magnetic moment**: 0.00 μB per formula unit
# **SG**: R3m



Record 9
# Ho5TlAg4 PBE relaxed
data_Ho5TlAg4
_chemical_formula_sum 'Ho5 Tl1 Ag4'
_space_group_name_H-M_alt 'P 1'
_space_group_IT_number 1
_cell_length_a 3.6033
_cell_length_b 3.6033
_cell_length_c 18.7845
_cell_angle_alpha 90.00
_cell_angle_beta 90.00
_cell_angle_gamma 90.00
loop_
_space_group_symop_operation_xyz
'x,y,z'
loop_
_atom_site_label
_atom_site_fract_x
_atom_site_fract_y
_atom_site_fract_z
Ho1 0.5000 0.5000 0.5000
Tl1 0.0000 0.0000 0.0000
Ho2 0.5000 0.5000 0.3051
Ho3 0.5000 0.5000 0.6949
Ag1 0.0000 0.0000 0.2077
Ag2 0.0000 0.0000 0.5972
Ho4 0.5000 0.5000 0.1108
Ag3 0.0000 0.0000 0.7923
Ho5 0.5000 0.5000 0.8892
Ag4 0.0000 0.0000 0.4028
# **Calculated volume**: 243.9 Å³ per cell
# **DOS(E_F)**: 7.2 states/eV/f.u.
# **Energy of formation from the pure elements**: -0.327 eV per atom
# **Magnetic moment**: 0.00 μB per formula unit
# **SG**: P4/mmm



Record 10
# CsRu2I PBE relaxed
data_CsRu2I
_chemical_formula_sum 'Cs1 Ru2 I1'
_space_group_name_H-M_alt 'P 1'
_space_group_IT_number 1
_cell_length_a 4.9418
_cell_length_b 4.9418
_cell_length_c 4.9418
_cell_angle_alpha 60.00
_cell_angle_beta 60.00
_cell_angle_gamma 60.00
loop_
_space_group_symop_operation_xyz
'x,y,z'
loop_
_atom_site_label
_atom_site_fract_x
_atom_site_fract_y
_atom_site_fract_z
Cs1 0.5000 0.5000 0.5000
Ru1 0.7500 0.7500 0.7500
I1 0.0000 0.0000 0.0000
Ru2 0.2500 0.2500 0.2500
# **Calculated volume**: 85.3 Å³ per cell
# **DOS(E_F)**: 5.3 states/eV/f.u.
# **Formation energy without anion corrections**: 1.5698 eV per atom
# **Magnetic moment**: 0.00 μB per formula unit
# **SG**: Fm-3m



Record 11
# Sr4TeIr PBE relaxed
data_Sr4TeIr
_chemical_formula_sum 'Sr4 Te1 Ir1'
_space_group_name_H-M_alt 'P 1'
_space_group_IT_number 1
_cell_length_a 6.5982
_cell_length_b 6.5982
_cell_length_c 6.5982
_cell_angle_alpha 60.00
_cell_angle_beta 60.00
_cell_angle_gamma 60.00
loop_
_space_group_symop_operation_xyz
'x,y,z'
loop_
_atom_site_label
_atom_site_fract_x
_atom_site_fract_y
_atom_site_fract_z
Sr1 0.3742 0.8774 0.3742
Sr2 0.3742 0.3742 0.8774
Ir1 0.0000 0.0000 0.0000
Sr3 0.8774 0.3742 0.3742
Sr4 0.3742 0.3742 0.3742
Te1 0.7500 0.7500 0.7500
# **Calculated volume**: 203.1 Å³ per cell
# **DOS(E_F)**: 5.4 states/eV/f.u.
# **Formation energy without anion corrections**: 0.5202 eV per atom
# **Magnetic moment**: 0.00 μB per formula unit
# **SG**: F-43m